# 1
PBE NbHg2B, relaxed; total magnetization = 1.447 μB per formula unit; crystal system = cubic; uncorrected energy = -0.2354 Ry per atom
1.0
0.0000 3.2739 3.2739
3.2739 0.0000 3.2739
3.2739 3.2739 0.0000
Nb Hg B
1 2 1
direct
0.0000 0.0000 0.0000 Nb
0.2500 0.2500 0.2500 Hg
0.5000 0.5000 0.5000 Hg
0.7500 0.7500 0.7500 B


# 2
PBE PrHo2Mg3Tl2Zn, relaxed; total magnetization = 0.005 μB per formula unit; crystal system = orthorhombic; uncorrected energy = -0.2241 Ry per atom
1.0
4.6159 0.0000 0.0000
0.0000 6.6060 3.7216
0.0000 -6.6060 3.7216
Pr Ho Mg Tl Zn
1 2 3 2 1
direct
0.0000 0.0000 0.0000 Pr
0.0000 0.4118 0.8245 Ho
0.0000 0.8245 0.4118 Ho
0.5000 0.1811 0.4154 Mg
0.5000 0.4154 0.1811 Mg
0.5000 0.6510 0.6510 Mg
0.5000 0.0824 0.7407 Tl
0.5000 0.7407 0.0824 Tl
0.0000 0.4251 0.4251 Zn


# 3
PBE TmBi, relaxed; total magnetization = 0.000 μB per formula unit; crystal system = cubic; uncorrected energy = -0.3719 Ry per atom
1.0
0.0000 3.1142 3.1142
3.1142 0.0000 3.1142
3.1142 3.1142 0.0000
Tm Bi
1 1
direct
0.0000 0.0000 0.0000 Tm
0.5000 0.5000 0.5000 Bi


# 4
PBE Rb3ErBr, relaxed; total magnetization = 1.123 μB per formula unit; crystal system = trigonal; uncorrected energy = -0.1324 Ry per atom
1.0
7.5882 0.0000 0.0000
-3.7941 6.5716 0.0000
0.0000 0.0000 11.7869
Rb Er Br
6 2 2
direct
0.0000 0.3455 0.3113 Rb
0.0000 0.6545 0.6887 Rb
0.3455 0.0000 0.3113 Rb
0.3455 0.3455 0.6887 Rb
0.6545 0.0000 0.6887 Rb
0.6545 0.6545 0.3113 Rb
0.3333 0.6667 0.0000 Er
0.6667 0.3333 0.0000 Er
0.0000 0.0000 0.1546 Br
0.0000 0.0000 0.8454 Br